Entry 1:
Density functional theory data (PBE) for crystalline AcDyMg2Ag4 at its relaxed geometry.

Total DFT energy (no corrections) = -25.5 eV per cell
DOS(E_F) = 0.660 states/eV/atom
Crystal system = trigonal

Lattice parameters (Å, degrees): 4.8391 4.8391 9.8674 75.81 75.81 60.00
Closest atoms and distances in Å follow each position.
Fractional positions:
Ac (0.0000, 0.0000, 0.0000)  8 Ag 3.33-3.35
Dy (0.5000, 0.5000, 0.5000)  8 Ag 2.93-3.12
Mg (0.7603, 0.7603, 0.7192)  6 Ag 2.88-2.92
Mg (0.2397, 0.2397, 0.2808)  6 Ag 2.88-2.92
Ag (0.3970, 0.3970, 0.8091)  3 Mg 2.92, 1 Dy 2.93, 3 Ag 3.19
Ag (0.8820, 0.8820, 0.3541)  3 Mg 2.88, 3 Dy 3.12, 3 Ag 3.19
Ag (0.1180, 0.1180, 0.6459)  3 Mg 2.88, 3 Dy 3.12, 3 Ag 3.19
Ag (0.6030, 0.6030, 0.1909)  3 Mg 2.92, 1 Dy 2.93, 3 Ag 3.19

---

Entry 2:
Density functional theory data (PBE) for crystalline AcNdDyAg at its relaxed geometry.

Total DFT energy (no corrections) = -15.6 eV per cell
DOS(E_F) = 1.650 states/eV/atom
Crystal system = cubic

Lattice parameters (Å, degrees): 5.6226 5.6226 5.6226 60.00 60.00 60.00
Closest atoms and distances in Å follow each position.
Fractional positions:
Ac (0.7500, 0.7500, 0.7500)  4 Dy 3.44, 4 Nd 3.44
Nd (0.5000, 0.5000, 0.5000)  4 Ac 3.44, 4 Ag 3.44
Ag (0.2500, 0.2500, 0.2500)  4 Dy 3.44, 4 Nd 3.44
Dy (0.0000, 0.0000, 0.0000)  4 Ac 3.44, 4 Ag 3.44

---

Entry 3:
Density functional theory data (PBE) for crystalline AcDyNiAg at its relaxed geometry.

Total DFT energy (no corrections) = -18.0 eV per cell
DOS(E_F) = 0.828 states/eV/atom
Crystal system = cubic

Lattice parameters (Å, degrees): 5.2175 5.2175 5.2175 60.00 60.00 60.00
Closest atoms and distances in Å follow each position.
Fractional positions:
Ni (0.2500, 0.2500, 0.2500)  4 Ac 3.20, 4 Dy 3.20
Ac (0.0000, 0.0000, 0.0000)  4 Ni 3.20, 4 Ag 3.20
Ag (0.7500, 0.7500, 0.7500)  4 Dy 3.20, 4 Ac 3.20
Dy (0.5000, 0.5000, 0.5000)  4 Ag 3.20, 4 Ni 3.20

---

Entry 4:
Density functional theory data (PBE) for crystalline Ac2DyAgO6 at its relaxed geometry.

Total DFT energy (no corrections) = -69.2 eV per cell
DOS(E_F) = 0.269 states/eV/atom
ΔE_f (raw) = -2377.5 meV/atom
Crystal system = tetragonal

Lattice parameters (Å, degrees): 4.6794 5.9263 5.9263 90.00 90.00 90.00
Closest atoms and distances in Å follow each position.
Fractional positions:
Ac (0.0272, 0.5000, 0.0000)  4 O 2.56
Ac (0.0272, 0.0000, 0.5000)  4 O 2.56
Dy (0.5914, 0.5000, 0.5000)  5 O 2.15-2.18
Ag (0.6524, 0.0000, 0.0000)  5 O 2.11-2.28
O (0.7129, 0.2495, 0.2495)  1 Ag 2.11, 1 Dy 2.18
O (0.7129, 0.2495, 0.7505)  1 Ag 2.11, 1 Dy 2.18
O (0.1326, 0.5000, 0.5000)  1 Dy 2.15
O (0.1644, 0.0000, 0.0000)  2 Ag 2.28-2.40
O (0.7129, 0.7505, 0.7505)  1 Ag 2.11, 1 Dy 2.18
O (0.7129, 0.7505, 0.2495)  1 Ag 2.11, 1 Dy 2.18

---

Entry 5:
Density functional theory data (PBE) for crystalline AcDyAg2Pb2 at its relaxed geometry.

Total DFT energy (no corrections) = -24.3 eV per cell
DOS(E_F) = 0.511 states/eV/atom
Crystal system = trigonal

Lattice parameters (Å, degrees): 4.9175 4.9175 7.9294 90.00 90.00 120.00
Closest atoms and distances in Å follow each position.
Fractional positions:
Ac (0.0000, 0.0000, 0.0000)  6 Pb 3.50, 6 Ag 3.83
Dy (0.0000, 0.0000, 0.5000)  6 Ag 3.16, 6 Pb 3.43
Ag (0.6667, 0.3333, 0.3248)  3 Pb 2.89, 3 Dy 3.16
Ag (0.3333, 0.6667, 0.6752)  3 Pb 2.89, 3 Dy 3.16
Pb (0.6667, 0.3333, 0.7419)  3 Ag 2.89
Pb (0.3333, 0.6667, 0.2581)  3 Ag 2.89

---

Entry 6:
Density functional theory data (PBE) for crystalline AcDy2Ag2Pb2 at its relaxed geometry.

Total DFT energy (no corrections) = -28.8 eV per cell
DOS(E_F) = 0.538 states/eV/atom
Crystal system = trigonal

Lattice parameters (Å, degrees): 5.0002 5.0002 9.5698 74.86 74.86 60.00
Closest atoms and distances in Å follow each position.
Fractional positions:
Ac (0.0000, 0.0000, 0.0000)  6 Pb 3.51, 2 Dy 3.72
Dy (0.1358, 0.1358, 0.5926)  3 Ag 2.96
Dy (0.8642, 0.8642, 0.4074)  3 Ag 2.96
Ag (0.5546, 0.5546, 0.3361)  3 Dy 2.96, 1 Ag 2.99, 3 Pb 3.08
Ag (0.4454, 0.4454, 0.6639)  3 Dy 2.96, 1 Ag 2.99, 3 Pb 3.08
Pb (0.7397, 0.7397, 0.7809)  3 Ag 3.08, 4 Dy 3.36-3.41
Pb (0.2603, 0.2603, 0.2191)  3 Ag 3.08, 4 Dy 3.36-3.41

---

Entry 7:
Density functional theory data (PBE) for crystalline AcDyAgPb at its relaxed geometry.

Total DFT energy (no corrections) = -16.6 eV per cell
DOS(E_F) = 0.946 states/eV/atom
Crystal system = cubic

Lattice parameters (Å, degrees): 5.5388 5.5388 5.5388 60.00 60.00 60.00
Closest atoms and distances in Å follow each position.
Fractional positions:
Pb (0.7500, 0.7500, 0.7500)  4 Dy 3.39, 4 Ac 3.39
Ac (0.5000, 0.5000, 0.5000)  4 Pb 3.39, 4 Ag 3.39
Ag (0.2500, 0.2500, 0.2500)  4 Ac 3.39, 4 Dy 3.39
Dy (0.0000, 0.0000, 0.0000)  4 Ag 3.39, 4 Pb 3.39

---

Entry 8:
Density functional theory data (PBE) for crystalline AcPmDyAg at its relaxed geometry.

Total DFT energy (no corrections) = -15.6 eV per cell
DOS(E_F) = 1.603 states/eV/atom
Crystal system = cubic

Lattice parameters (Å, degrees): 5.6090 5.6090 5.6090 60.00 60.00 60.00
Closest atoms and distances in Å follow each position.
Fractional positions:
Ac (0.7500, 0.7500, 0.7500)  4 Dy 3.43, 4 Pm 3.43
Pm (0.5000, 0.5000, 0.5000)  4 Ag 3.43, 4 Ac 3.43
Ag (0.2500, 0.2500, 0.2500)  4 Dy 3.43, 4 Pm 3.43
Dy (0.0000, 0.0000, 0.0000)  4 Ac 3.43, 4 Ag 3.43

---

Question: Number 5 is which compound?
Answer: AcDyAg2Pb2

---

Question: The lowest DOS(E_F) belongs to which entry?
Answer: Ac2DyAgO6

---

Question: Which of these has the highest DOS(E_F)?
Answer: AcNdDyAg